The following is a DFT calculation (PBE-GGA) of crystalline Nb2Zn2Cl7 at its relaxed geometry.

As for the total moment: 0.090 μB per atom. The total energy comes out at -4.06 eV/atom. Its calculated volume is 299.2 Å³/f.u.

The structure belongs to space group C2/c (No. 15); the cell edges are 5.8769, 10.5698 and 19.2769 Å and the angles 90.00°, 91.78° and 90.00°. The asymmetric unit holds Nb at (0.0545, 0.1828, 0.0021), Zn at (0.0173, 0.2891, 0.6899), Cl at (0.0000, 0.4989, 0.2500), Cl at (0.1762, 0.0074, 0.5687), Cl at (0.1782, 0.3303, 0.5777) and Cl at (0.1904, 0.3257, 0.0949).



The following is a DFT calculation (PBE-GGA) of crystalline Nb2ZnCl at its relaxed geometry.

The value obtained for the energy above the lowest structure with this stoichiometry is 0.000 eV per atom. As for the total moment: 0.000 μB per atom. The total energy comes out at -5.44 eV/atom. Its calculated volume is 65.8 Å³/f.u.

The structure belongs to space group Fm-3m (No. 225); the cell edges are 6.4078, 6.4078 and 6.4078 Å and the angles 90.00°, 90.00° and 90.00°. The asymmetric unit holds Nb at (0.2500, 0.2500, 0.2500), Zn at (0.0000, 0.0000, 0.0000) and Cl at (0.0000, 0.0000, 0.5000).



The following is a DFT calculation (PBE-GGA) of crystalline ZrNb3Cl at its relaxed geometry.

The value obtained for the energy above the lowest structure with this stoichiometry is 1.417 eV per atom. As for the total moment: 0.000 μB per atom. The total energy comes out at -6.31 eV/atom. Its calculated volume is 127.7 Å³/f.u.

The structure belongs to space group Pm-3m (No. 221); the cell edges are 5.0356, 5.0356 and 5.0356 Å and the angles 90.00°, 90.00° and 90.00°. The asymmetric unit holds Zr at (0.0000, 0.0000, 0.0000), Nb at (0.0000, 0.0000, 0.5000) and Cl at (0.5000, 0.5000, 0.5000).



The following is a DFT calculation (PBE-GGA) of crystalline ZrNbCl3 at its relaxed geometry.

The value obtained for the energy above the lowest structure with this stoichiometry is 0.157 eV per atom. As for the total moment: 0.650 μB per atom. The total energy comes out at -4.72 eV/atom. Its calculated volume is 118.3 Å³/f.u.

The structure belongs to space group Pm-3m (No. 221); the cell edges are 4.9094, 4.9094 and 4.9094 Å and the angles 90.00°, 90.00° and 90.00°. The asymmetric unit holds Zr at (0.0000, 0.0000, 0.0000), Nb at (0.5000, 0.5000, 0.5000) and Cl at (0.0000, 0.5000, 0.5000).



The following is a DFT calculation (PBE-GGA) of crystalline Zr3NbCl at its relaxed geometry.

The value obtained for the energy above the lowest structure with this stoichiometry is 0.777 eV per atom. As for the total moment: 0.244 μB per atom. The total energy comes out at -6.61 eV/atom. Its calculated volume is 139.7 Å³/f.u.

The structure belongs to space group Pm-3m (No. 221); the cell edges are 5.1886, 5.1886 and 5.1886 Å and the angles 90.00°, 90.00° and 90.00°. The asymmetric unit holds Zr at (0.0000, 0.0000, 0.5000), Nb at (0.0000, 0.0000, 0.0000) and Cl at (0.5000, 0.5000, 0.5000).



The following is a DFT calculation (PBE-GGA) of crystalline Zr3NbCl at its relaxed geometry.

The value obtained for the energy above the lowest structure with this stoichiometry is 0.000 eV per atom. As for the total moment: 0.000 μB per atom. The total energy comes out at -7.39 eV/atom. Its calculated volume is 109.5 Å³/f.u.

The structure belongs to space group Pm-3m (No. 221); the cell edges are 4.7837, 4.7837 and 4.7837 Å and the angles 90.00°, 90.00° and 90.00°. The asymmetric unit holds Zr at (0.0000, 0.0000, 0.5000), Nb at (0.5000, 0.5000, 0.5000) and Cl at (0.0000, 0.0000, 0.0000).



The following is a DFT calculation (PBE-GGA) of crystalline ZrNb3Cl at its relaxed geometry.

The value obtained for the energy above the lowest structure with this stoichiometry is 0.000 eV per atom. As for the total moment: 0.000 μB per atom. The total energy comes out at -7.72 eV/atom. Its calculated volume is 98.6 Å³/f.u.

The structure belongs to space group Pm-3m (No. 221); the cell edges are 4.6197, 4.6197 and 4.6197 Å and the angles 90.00°, 90.00° and 90.00°. The asymmetric unit holds Zr at (0.0000, 0.0000, 0.0000), Nb at (0.0000, 0.5000, 0.5000) and Cl at (0.5000, 0.5000, 0.5000).



The following is a DFT calculation (PBE-GGA) of crystalline ZrNbCl3 at its relaxed geometry.

The value obtained for the energy above the lowest structure with this stoichiometry is 0.000 eV per atom. As for the total moment: 0.873 μB per atom. The total energy comes out at -4.88 eV/atom. Its calculated volume is 128.7 Å³/f.u.

The structure belongs to space group Pm-3m (No. 221); the cell edges are 5.0483, 5.0483 and 5.0483 Å and the angles 90.00°, 90.00° and 90.00°. The asymmetric unit holds Zr at (0.0000, 0.0000, 0.0000), Nb at (0.5000, 0.5000, 0.5000) and Cl at (0.0000, 0.0000, 0.5000).



The following is a DFT calculation (PBE-GGA) of crystalline ZrNbCl2 at its relaxed geometry.

The value obtained for the energy above the lowest structure with this stoichiometry is 0.000 eV per atom. As for the total moment: 0.000 μB per atom. The total energy comes out at -6.14 eV/atom. Its calculated volume is 76.0 Å³/f.u.

The structure belongs to space group R-3m (No. 166, hexagonal axes); the cell edges are 3.1372, 3.1372 and 26.7511 Å and the angles 90.00°, 90.00° and 120.00°. The asymmetric unit holds Zr at (0.0000, 0.0000, 0.0000), Nb at (0.0000, 0.0000, 0.5000) and Cl at (0.0000, 0.0000, 0.4053).



The following is a DFT calculation (PBE-GGA) of crystalline ZrNb2Cl at its relaxed geometry.

The value obtained for the energy above the lowest structure with this stoichiometry is 0.000 eV per atom. As for the total moment: 0.000 μB per atom. The total energy comes out at -7.28 eV/atom. Its calculated volume is 79.2 Å³/f.u.

The structure belongs to space group I-42d (No. 122); the cell edges are 3.8462, 3.8462 and 21.4210 Å and the angles 90.00°, 90.00° and 90.00°. The asymmetric unit holds Zr at (0.0000, 0.0000, 0.0000), Nb at (0.2451, 0.2500, 0.1250) and Cl at (0.0000, 0.0000, 0.5000).



The following is a DFT calculation (PBE-GGA) of crystalline ZrNb2Cl at its relaxed geometry.

The value obtained for the energy above the lowest structure with this stoichiometry is 0.346 eV per atom. As for the total moment: 0.000 μB per atom. The total energy comes out at -6.93 eV/atom. Its calculated volume is 75.7 Å³/f.u.

The structure belongs to space group Fm-3m (No. 225); the cell edges are 6.7145, 6.7145 and 6.7145 Å and the angles 90.00°, 90.00° and 90.00°. The asymmetric unit holds Zr at (0.0000, 0.0000, 0.0000), Nb at (0.2500, 0.2500, 0.2500) and Cl at (0.0000, 0.0000, 0.5000).



The following is a DFT calculation (PBE-GGA) of crystalline ZrNbCl2 at its relaxed geometry.

The value obtained for the energy above the lowest structure with this stoichiometry is 0.266 eV per atom. As for the total moment: 0.000 μB per atom. The total energy comes out at -5.87 eV/atom. Its calculated volume is 79.1 Å³/f.u.

The structure belongs to space group I-42d (No. 122); the cell edges are 4.3343, 4.3343 and 16.8466 Å and the angles 90.00°, 90.00° and 90.00°. The asymmetric unit holds Zr at (0.0000, 0.0000, 0.0000), Nb at (0.0000, 0.0000, 0.5000) and Cl at (0.2424, 0.2500, 0.6250).



- Look up the calculated volume of the fifth one.
  139.7 Å³/f.u.